Entry 1:
A relaxed ZrIn2P crystal, computed with GGA-PBE.

extended XYZ file:
```
4
Lattice="-0.216 3.376 0.937 -2.941 0.320 -1.830 -4.012 -1.991 6.246" Properties=species:S:1:pos:R:3 pbc="T T T"
In -4.048 -1.886 5.858
In -2.026 1.200 1.784
P -2.533 -1.108 3.406
Zr -4.580 0.511 3.676
```

Output
space-group type = No. 6
magnetic moment = 0.0 μB/f.u.
DFT formation energy = -0.407 eV/atom

Entry 2:
A relaxed ZrInP crystal, computed with GGA-PBE.

extended XYZ file:
```
3
Lattice="1.849 -3.202 0.000 1.849 3.202 0.000 0.000 0.000 5.812" Properties=species:S:1:pos:R:3 pbc="T T T"
P 1.849 -1.067 2.170
Zr 1.849 1.067 3.550
In 0.000 0.000 0.093
```

Output
space-group type = No. 156
magnetic moment = 0.0 μB/f.u.
DFT formation energy = -0.306 eV/atom

Entry 3:
A relaxed ZrInP crystal, computed with GGA-PBE.

extended XYZ file:
```
3
Lattice="0.000 3.287 3.287 3.287 0.000 3.287 3.287 3.287 0.000" Properties=species:S:1:pos:R:3 pbc="T T T"
In 0.000 0.000 0.000
Zr 1.644 1.644 1.644
P 3.287 3.287 3.287
```

Output
space-group type = No. 216
magnetic moment = 0.0 μB/f.u.
DFT formation energy = 0.141 eV/atom

Entry 4:
A relaxed ZrIn2P crystal, computed with GGA-PBE.

extended XYZ file:
```
4
Lattice="-3.136 1.950 -1.676 -1.851 0.124 3.606 2.227 4.432 0.991" Properties=species:S:1:pos:R:3 pbc="T T T"
Zr 1.113 2.216 0.495
P -1.380 3.253 1.460
In -1.568 0.975 -0.838
In -0.925 0.062 1.803
```

Output
space-group type = No. 123
magnetic moment = 0.0 μB/f.u.
DFT formation energy = -0.138 eV/atom

Entry 5:
A relaxed ZrIn2P crystal, computed with GGA-PBE.

extended XYZ file:
```
4
Lattice="-0.462 0.347 4.903 -4.166 -1.479 2.197 -0.012 -4.084 2.773" Properties=species:S:1:pos:R:3 pbc="T T T"
P -2.320 -2.608 4.936
Zr -1.160 -1.304 2.468
In -3.480 -3.913 7.405
In 0.000 0.000 0.000
```

Output
space-group type = No. 216
magnetic moment = 0.0 μB/f.u.
DFT formation energy = 0.103 eV/atom

Entry 6:
A relaxed ZrIn2P2 crystal, computed with GGA-PBE.

extended XYZ file:
```
10
Lattice="6.887 0.000 0.000 0.000 6.887 0.000 0.000 0.000 4.246" Properties=species:S:1:pos:R:3 pbc="T T T"
In 4.659 5.672 2.123
In 1.216 4.659 2.123
In 2.228 1.216 2.123
In 5.672 2.228 2.123
P 5.985 4.346 0.000
P 0.902 2.541 0.000
P 2.541 5.985 0.000
P 4.346 0.902 0.000
Zr 0.000 0.000 0.000
Zr 3.444 3.444 0.000
```

Output
space-group type = No. 127
magnetic moment = 0.0 μB/f.u.
DFT formation energy = -0.237 eV/atom